VASP calculation (PBE-GGA) on a geometry-optimized CsBaTlIn structure.

a = 6.0633 Å, b = 6.0633 Å, c = 6.0633 Å
α = 60.00°, β = 60.00°, γ = 60.00°
Positions (direct):
Tl: 0.0000 0.0000 0.0000
Cs: 0.7500 0.7500 0.7500
Ba: 0.5000 0.5000 0.5000
In: 0.2500 0.2500 0.2500

Results
Symmetry: F-43m (216)
Total DFT energy (no corrections), eV per atom: -2.06



VASP calculation (PBE-GGA) on a geometry-optimized TlRu2Pt structure.

a = 4.8299 Å, b = 4.8299 Å, c = 4.8299 Å
α = 129.79°, β = 129.79°, γ = 73.74°
Positions (direct):
Ru: 0.5000 0.5000 0.0000
Ru: 0.0000 0.0000 0.0000
Pt: 0.7500 0.2500 0.5000
Tl: 0.2500 0.7500 0.5000

Results
Symmetry: I4/mmm (139)
ΔE to the lowest computed polymorph, meV per atom: 151
Total DFT energy (no corrections), eV per atom: -6.33



VASP calculation (PBE-GGA) on a geometry-optimized MnSe4 structure.

a = 5.2642 Å, b = 5.2642 Å, c = 5.2642 Å
α = 109.47°, β = 109.47°, γ = 109.47°
Positions (direct):
Se: 0.5000 0.5000 0.5000
Se: 0.0000 0.5000 0.0000
Se: 0.5000 0.0000 0.0000
Se: 0.0000 0.0000 0.5000
Mn: 0.0000 0.0000 0.0000

Results
Symmetry: Im-3m (229)
ΔE to the lowest computed polymorph, meV per atom: 6
Total DFT energy (no corrections), eV per atom: -4.45
Formation energy (no corrections), meV/atom: 173



VASP calculation (PBE-GGA) on a geometry-optimized NaSm3Y3Se8 structure.

a = 8.2228 Å, b = 8.2231 Å, c = 8.2377 Å
α = 119.94°, β = 90.00°, γ = 120.00°
Positions (direct):
Se: 0.2581 0.0046 0.2510
Se: 0.2536 0.5071 0.7488
Se: 0.7478 0.4956 0.7434
Se: 0.7464 0.4929 0.2512
Se: 0.7466 0.0046 0.2510
Se: 0.2534 0.9954 0.7490
Se: 0.7419 0.9954 0.7490
Se: 0.2522 0.5044 0.2566
Sm: 0.0000 0.0000 0.0000
Sm: 0.5000 0.5000 0.0000
Sm: 0.0000 0.5000 0.0000
Y: 0.0000 0.5000 0.5000
Y: 0.5000 0.5000 0.5000
Y: 0.5000 0.0000 0.5000
Na: 0.0000 0.0000 0.5000

Results
Symmetry: R-3m (166)
Total DFT energy (no corrections), eV per atom: -5.98
Formation energy (no corrections), meV/atom: -1798



VASP calculation (PBE-GGA) on a geometry-optimized GaCo2B2 structure.

a = 5.7992 Å, b = 5.7992 Å, c = 2.6536 Å
α = 90.00°, β = 90.00°, γ = 90.00°
Positions (direct):
Co: 0.6703 0.8297 0.5000
Co: 0.1703 0.6703 0.5000
Co: 0.3297 0.1703 0.5000
Co: 0.8297 0.3297 0.5000
B: 0.3892 0.8892 0.0000
B: 0.1108 0.3892 0.0000
B: 0.8892 0.6108 0.0000
B: 0.6108 0.1108 0.0000
Ga: 0.0000 0.0000 0.0000
Ga: 0.5000 0.5000 0.0000

Results
Symmetry: P4/mbm (127)
ΔE to the lowest computed polymorph, meV per atom: 87
Total DFT energy (no corrections), eV per atom: -6.23



VASP calculation (PBE-GGA) on a geometry-optimized TbSmHo6 structure.

a = 6.5944 Å, b = 6.6090 Å, c = 8.0906 Å
α = 65.80°, β = 65.91°, γ = 60.19°
Positions (direct):
Ho: 0.5525 0.2478 0.2518
Ho: 0.0490 0.4509 0.7485
Ho: 0.4475 0.7522 0.7482
Ho: 0.7496 0.0512 0.7493
Ho: 0.9510 0.5491 0.2515
Ho: 0.2504 0.9488 0.2507
Sm: 0.5000 0.5000 0.5000
Tb: 0.0000 0.0000 0.0000

Results
Symmetry: P-1 (2)
ΔE to the lowest computed polymorph, meV per atom: 394
Total DFT energy (no corrections), eV per atom: -3.84